# BaScPb3

Crystalline BaScPb3 at its relaxed geometry (PBE-GGA, the Alexandria database).

Computed properties:
- Polymorph energy (0 for the lowest one): 0 meV per atom
- Energy relative to the elements: -0.2547 eV/atom

Lattice parameters (Å, degrees): 5.659 5.659 5.659 90.00 90.00 90.00
Fractional positions:
Sc: 0.000 0.000 0.000
Pb: 0.000 0.000 0.500
Pb: 0.000 0.500 0.000
Pb: 0.500 0.000 0.000
Ba: 0.500 0.500 0.500